1.
A plane-wave DFT calculation with GGA-PBE was carried out for crystalline SbH2Ru at its relaxed geometry.

Cell: 4.1763 12.4066 4.2368 Å, 90.00 95.62 90.00°
Atoms (fractional coordinates):
Sb1 0.0000 0.1047 0.2500
Sb2 0.0000 0.8953 0.7500
Sb3 0.5000 0.3953 0.7500
Sb4 0.5000 0.6047 0.2500
H1 0.1587 0.3240 0.0913
H2 0.1587 0.6760 0.5913
H3 0.3413 0.1760 0.9087
H4 0.3413 0.8240 0.4087
H5 0.6587 0.1760 0.5913
H6 0.6587 0.8240 0.0913
H7 0.8413 0.3240 0.4087
H8 0.8413 0.6760 0.9087
Ru1 0.0000 0.2575 0.7500
Ru2 0.0000 0.7425 0.2500
Ru3 0.5000 0.2425 0.2500
Ru4 0.5000 0.7575 0.7500

E: -79.0 eV/cell
calculated volume: 55 Å³/f.u.
calculated density: 6.84 g cm⁻³
energy above the most stable polymorph in this dataset: 0.02 eV per formula unit

***

2.
A plane-wave DFT calculation with GGA-PBE was carried out for crystalline SbH2Ru at its relaxed geometry.

Cell: 4.2953 4.2953 10.3135 Å, 90.00 90.00 90.00°
Atoms (fractional coordinates):
Sb1 0.0000 0.0000 0.0000
Sb2 0.0000 0.5000 0.2500
Sb3 0.5000 0.0000 0.7500
Sb4 0.5000 0.5000 0.5000
H1 0.0619 0.2500 0.6250
H2 0.2500 0.5619 0.8750
H3 0.2500 0.9381 0.3750
H4 0.4381 0.2500 0.1250
H5 0.5619 0.7500 0.1250
H6 0.7500 0.0619 0.3750
H7 0.7500 0.4381 0.8750
H8 0.9381 0.7500 0.6250
Ru1 0.0000 0.0000 0.5000
Ru2 0.0000 0.5000 0.7500
Ru3 0.5000 0.0000 0.2500
Ru4 0.5000 0.5000 0.0000

E: -74.4 eV/cell
calculated volume: 48 Å³/f.u.
calculated density: 7.85 g cm⁻³
energy above the most stable polymorph in this dataset: 1.16 eV per formula unit

***

3.
A plane-wave DFT calculation with GGA-PBE was carried out for crystalline Sb2H5Ru at its relaxed geometry.

Cell: 8.3670 4.6602 6.7154 Å, 90.00 126.62 90.00°
Atoms (fractional coordinates):
Sb1 0.0000 0.0000 0.0000
Sb2 0.1651 0.5000 0.4591
Sb3 0.5000 0.5000 0.0000
Sb4 0.6651 0.0000 0.4591
H1 0.1759 0.0000 0.6087
H2 0.2611 0.2691 0.1364
H3 0.2611 0.7309 0.1364
H4 0.4652 0.2706 0.5547
H5 0.4652 0.7294 0.5547
H6 0.6759 0.5000 0.6087
H7 0.7611 0.2309 0.1364
H8 0.7611 0.7691 0.1364
H9 0.9652 0.2294 0.5547
H10 0.9652 0.7706 0.5547
Ru1 0.4466 0.5000 0.3575
Ru2 0.9466 0.0000 0.3575

E: -65.8 eV/cell
calculated volume: 105 Å³/f.u.
calculated density: 5.53 g cm⁻³

***

4.
A plane-wave DFT calculation with GGA-PBE was carried out for crystalline Sb2H2Ru at its relaxed geometry.

Cell: 3.2586 3.2586 12.8963 Å, 90.00 90.00 90.00°
Atoms (fractional coordinates):
Sb1 0.0000 0.0000 0.1285
Sb2 0.0000 0.0000 0.8715
Sb3 0.5000 0.5000 0.3715
Sb4 0.5000 0.5000 0.6285
H1 0.0000 0.5000 0.2500
H2 0.0000 0.5000 0.7500
H3 0.5000 0.0000 0.2500
H4 0.5000 0.0000 0.7500
Ru1 0.0000 0.0000 0.5000
Ru2 0.5000 0.5000 0.0000

E: -44.5 eV/cell
calculated volume: 68 Å³/f.u.
calculated density: 8.41 g cm⁻³

***

5.
A plane-wave DFT calculation with GGA-PBE was carried out for crystalline SbHRu at its relaxed geometry.

Cell: 3.3226 4.9936 5.8095 Å, 76.81 89.89 70.63°
Atoms (fractional coordinates):
Sb1 0.1599 0.1787 0.1531
Sb2 0.8401 0.8213 0.8469
H1 0.3972 0.7036 0.5049
H2 0.6028 0.2964 0.4951
Ru1 0.4580 0.5837 0.2343
Ru2 0.5420 0.4163 0.7657

E: -33.4 eV/cell
calculated volume: 44 Å³/f.u.
calculated density: 8.42 g cm⁻³
energy above the most stable polymorph in this dataset: 0.00 eV per formula unit

***

6.
A plane-wave DFT calculation with GGA-PBE was carried out for crystalline Ta2SbHRu at its relaxed geometry.

Cell: 4.0783 4.0783 4.3462 Å, 90.00 90.00 90.00°
Atoms (fractional coordinates):
Ta1 0.0000 0.5000 0.0000
Ta2 0.5000 0.0000 0.0000
Sb1 0.0000 0.0000 0.5000
H1 0.5000 0.5000 0.0000
Ru1 0.5000 0.5000 0.5000

E: -40.4 eV/cell
calculated volume: 72 Å³/f.u.
calculated density: 13.45 g cm⁻³

***

7.
A plane-wave DFT calculation with GGA-PBE was carried out for crystalline TcSbHRu2 at its relaxed geometry.

Cell: 4.0420 4.0420 3.9873 Å, 90.00 90.00 90.00°
Atoms (fractional coordinates):
Tc1 0.0000 0.0000 0.0000
Sb1 0.5000 0.5000 0.0000
H1 0.0000 0.0000 0.5000
Ru1 0.0000 0.5000 0.5000
Ru2 0.5000 0.0000 0.5000

E: -35.5 eV/cell
calculated volume: 65 Å³/f.u.
calculated density: 10.78 g cm⁻³

***

8.
A plane-wave DFT calculation with GGA-PBE was carried out for crystalline ThSbH6Ru3 at its relaxed geometry.

Cell: 4.9361 4.9361 4.9361 Å, 96.53 96.53 96.53°
Atoms (fractional coordinates):
Th1 0.0000 0.0000 0.0000
Sb1 0.4100 0.4100 0.4100
H1 0.1485 0.5280 0.8620
H2 0.1485 0.8620 0.5280
H3 0.5280 0.1485 0.8620
H4 0.5280 0.8620 0.1485
H5 0.8620 0.1485 0.5280
H6 0.8620 0.5280 0.1485
Ru1 0.5474 0.5474 0.9491
Ru2 0.5474 0.9491 0.5474
Ru3 0.9491 0.5474 0.5474

E: -61.4 eV/cell
calculated volume: 118 Å³/f.u.
calculated density: 9.35 g cm⁻³

***

- What is the E in the eighth record?
  -61.4 eV/cell

***

Please write out number 5 again, unchanged.
A plane-wave DFT calculation with GGA-PBE was carried out for crystalline SbHRu at its relaxed geometry.

Cell: 3.3226 4.9936 5.8095 Å, 76.81 89.89 70.63°
Atoms (fractional coordinates):
Sb1 0.1599 0.1787 0.1531
Sb2 0.8401 0.8213 0.8469
H1 0.3972 0.7036 0.5049
H2 0.6028 0.2964 0.4951
Ru1 0.4580 0.5837 0.2343
Ru2 0.5420 0.4163 0.7657

E: -33.4 eV/cell
calculated volume: 44 Å³/f.u.
calculated density: 8.42 g cm⁻³
energy above the most stable polymorph in this dataset: 0.00 eV per formula unit

***

- Which value of calculated density does entry 7 give?
  10.78 g cm⁻³